Record 1
A geometry-optimized TbNdGa structure. Source: OQMD via LeMat-Bulk, functional PBE.

Geometry as extended XYZ:
```
12
Lattice="7.134 0.000 0.000 0.000 7.134 0.000 0.000 0.000 7.134" Properties=species:S:1:pos:R:3 pbc="T T T"
Tb 0.000 0.000 0.000
Tb 0.000 3.567 3.567
Tb 3.567 0.000 3.567
Tb 3.567 3.567 0.000
Nd 0.000 0.000 3.567
Nd 0.000 3.567 0.000
Nd 3.567 0.000 0.000
Nd 3.567 3.567 3.567
Ga 1.784 1.784 5.351
Ga 1.784 5.351 1.784
Ga 5.351 1.784 1.784
Ga 5.351 5.351 5.351
```

## Properties
Its space group is No. 216. The calculation puts the total energy at -4.377 eV/atom.

Record 2
A geometry-optimized NdGaTc structure. Source: OQMD via LeMat-Bulk, functional PBE.

Geometry as extended XYZ:
```
12
Lattice="6.477 0.000 0.000 0.000 6.477 0.000 0.000 0.000 6.477" Properties=species:S:1:pos:R:3 pbc="T T T"
Nd 0.000 0.000 0.000
Nd 0.000 3.238 3.238
Nd 3.238 0.000 3.238
Nd 3.238 3.238 0.000
Ga 1.619 1.619 1.619
Ga 1.619 4.858 4.858
Ga 4.858 1.619 4.858
Ga 4.858 4.858 1.619
Tc 0.000 0.000 3.238
Tc 0.000 3.238 0.000
Tc 3.238 0.000 0.000
Tc 3.238 3.238 3.238
```

## Properties
Its space group is No. 216. The calculation puts the total energy at -5.807 eV/atom.

Record 3
A geometry-optimized Nd5GaTe4 structure. Source: OQMD via LeMat-Bulk, functional PBE.

Geometry as extended XYZ:
```
10
Lattice="-5.008 5.008 3.159 5.008 -5.008 3.159 5.008 5.008 -3.159" Properties=species:S:1:pos:R:3 pbc="T T T"
Nd 0.000 0.000 0.000
Nd 5.968 2.171 0.000
Nd 2.171 4.048 0.000
Nd 2.837 0.960 3.159
Nd -0.960 2.837 3.159
Ga 0.000 0.000 3.159
Te 3.035 0.945 0.000
Te 4.063 -1.972 3.159
Te 0.945 6.980 0.000
Te 1.972 4.063 3.159
```

## Properties
Its space group is No. 87. The calculation puts the total energy at -5.244 eV/atom.

Record 4
A geometry-optimized Nd5TlGa2 structure. Source: OQMD via LeMat-Bulk, functional PBE.

Geometry as extended XYZ:
```
16
Lattice="-3.977 3.977 7.506 3.977 -3.977 7.506 3.977 3.977 -7.506" Properties=species:S:1:pos:R:3 pbc="T T T"
Nd 0.000 0.000 0.000
Nd 5.333 1.356 -2.172
Nd 1.356 2.621 -2.172
Nd 5.333 1.356 2.172
Nd 1.356 2.621 2.172
Nd 0.000 0.000 7.506
Nd 2.621 1.356 5.334
Nd -1.356 2.621 5.334
Nd 2.621 1.356 9.679
Nd -1.356 2.621 9.679
Tl 0.000 0.000 3.753
Tl 0.000 0.000 11.259
Ga 3.029 0.948 0.000
Ga 3.029 -0.948 7.506
Ga 0.948 4.924 0.000
Ga 0.948 3.029 7.506
```

## Properties
Its space group is No. 140. The calculation puts the total energy at -4.443 eV/atom.

Record 5
A geometry-optimized NdTmGa5 structure. Source: OQMD via LeMat-Bulk, functional PBE.

Geometry as extended XYZ:
```
7
Lattice="4.295 0.000 0.000 0.000 4.295 0.000 0.000 0.000 8.480" Properties=species:S:1:pos:R:3 pbc="T T T"
Nd 0.000 0.000 0.000
Tm 0.000 0.000 4.240
Ga 0.000 2.147 2.236
Ga 0.000 2.147 6.244
Ga 2.147 0.000 2.236
Ga 2.147 0.000 6.244
Ga 2.147 2.147 0.000
```

## Properties
Its space group is No. 123. The calculation puts the total energy at -3.874 eV/atom.

Record 6
A geometry-optimized NdTmGa structure. Source: OQMD via LeMat-Bulk, functional PBE.

Geometry as extended XYZ:
```
12
Lattice="7.078 0.000 0.000 0.000 7.078 0.000 0.000 0.000 7.078" Properties=species:S:1:pos:R:3 pbc="T T T"
Nd 0.000 0.000 0.000
Nd 0.000 3.539 3.539
Nd 3.539 0.000 3.539
Nd 3.539 3.539 0.000
Tm 0.000 0.000 3.539
Tm 0.000 3.539 0.000
Tm 3.539 0.000 0.000
Tm 3.539 3.539 3.539
Ga 1.770 1.770 1.770
Ga 1.770 5.309 5.309
Ga 5.309 1.770 5.309
Ga 5.309 5.309 1.770
```

## Properties
Its space group is No. 216. The calculation puts the total energy at -4.321 eV/atom. The relative energy among the computed polymorphs comes out at 0.000 eV per atom.

Record 7
A geometry-optimized NdTmZn2Ga2 structure. Source: OQMD via LeMat-Bulk, functional PBE.

Geometry as extended XYZ:
```
6
Lattice="4.431 0.000 0.000 -2.216 3.838 0.000 0.000 0.000 7.321" Properties=species:S:1:pos:R:3 pbc="T T T"
Nd 0.000 0.000 0.000
Tm 0.000 0.000 3.652
Zn 0.000 2.558 5.559
Zn 2.216 1.279 2.191
Ga 0.000 2.558 1.715
Ga 2.216 1.279 5.177
```

## Properties
Its space group is No. 156. The calculation puts the total energy at -3.544 eV/atom.

Record 8
A geometry-optimized NdYGa6 structure. Source: OQMD via LeMat-Bulk, functional PBE.

Geometry as extended XYZ:
```
8
Lattice="6.363 0.000 0.000 -3.182 5.511 0.000 0.000 0.000 4.561" Properties=species:S:1:pos:R:3 pbc="T T T"
Nd 0.000 0.000 0.000
Y 3.182 1.837 2.280
Ga -1.401 2.865 0.000
Ga 0.000 2.087 2.280
Ga -1.375 4.467 2.280
Ga 1.401 2.865 0.000
Ga 0.000 5.292 0.000
Ga 1.375 4.467 2.280
```

## Properties
Its space group is No. 187. The calculation puts the total energy at -4.232 eV/atom.